No. 1
Entry from Alexandria via LeMat-Bulk: a relaxed structure of Li2TmGa4 (GGA-PBE).

a b c (Å): 5.319 5.319 13.710
angles (deg): 90.00 90.00 90.00
Space group I4/mmm (No. 139)
Symmetry-distinct sites (fractional):
1 Li 0.000 0.000 0.094 [4 per cell]
2 Tm 0.000 0.000 0.500 [2 per cell]
3 Ga 0.000 0.000 0.290 [4 per cell]
4 Ga 0.000 0.500 0.000 [4 per cell]

Values from the calculation:
The value obtained for the total moment is 0.000 μB/atom. Its formation energy is 334 meV per atom. The total energy comes out at -2.58 eV/atom.



No. 2
Entry from Alexandria via LeMat-Bulk: a relaxed structure of TiAlSb2 (GGA-PBE).

a b c (Å): 6.380 6.380 12.259
angles (deg): 90.00 90.00 90.00
Space group I-42d (No. 122)
Symmetry-distinct sites (fractional):
1 Ti 0.000 0.000 0.000 [4 per cell]
2 Al 0.000 0.000 0.500 [4 per cell]
3 Sb 0.246 0.250 0.625 [8 per cell]

Values from the calculation:
The value obtained for the total moment is 0.250 μB/atom. The total energy comes out at -4.88 eV/atom.



No. 3
Entry from Alexandria via LeMat-Bulk: a relaxed structure of Tb3CeTl4Se8 (GGA-PBE).

a b c (Å): 8.4858 8.4858 23.2850
angles (deg): 90.00 90.00 120.00
Space group R-3m (No. 166, hexagonal axes)
Symmetry-distinct sites (fractional):
1 Tb 0.0000 0.5000 0.0000 [9 per cell]
2 Ce 0.0000 0.0000 0.0000 [3 per cell]
3 Tl 0.0000 0.0000 0.5000 [3 per cell]
4 Tl 0.0000 0.5000 0.5000 [9 per cell]
5 Se 0.0000 0.0000 0.2653 [6 per cell]
6 Se 0.0065 0.5032 0.2645 [18 per cell]

Values from the calculation:
The value obtained for the total moment is 0.063 μB/atom. The total energy comes out at -4.94 eV/atom.



No. 4
Entry from Alexandria via LeMat-Bulk: a relaxed structure of Ca3SiTc (GGA-PBE).

a b c (Å): 5.574 5.574 5.574
angles (deg): 90.00 90.00 90.00
Space group Pm-3m (No. 221)
Symmetry-distinct sites (fractional):
1 Ca 0.000 0.000 0.500 [3 per cell]
2 Si 0.000 0.000 0.000 [1 per cell]
3 Tc 0.500 0.500 0.500 [1 per cell]

Values from the calculation:
The value obtained for the total moment is 0.628 μB/atom. The total energy comes out at -3.68 eV/atom.



Among the records above, which one has the highest total moment? Ca3SiTc



total moment of number 4 (Ca3SiTc)? 0.628 μB/atom



Look up the total moment of the first one. 0.000 μB/atom